Record 1
Nd2Dy2BrNCl4: optimized geometry, PBE.

* crystal system: monoclinic
* calculated total energy: -5.43 eV per atom
* space group: C2/m (12)

Unit cell a=8.749 b=8.749 c=8.325 alpha=103.86 beta=103.86 gamma=24.85
Positions (direct):
Cl (0.174, 0.174, 0.356)
Cl (0.170, 0.170, 0.817)
Cl (0.830, 0.830, 0.183)
Cl (0.826, 0.826, 0.644)
Nd (0.000, 0.000, 0.703)
Nd (0.000, 0.000, 0.297)
Dy (0.359, 0.359, 0.426)
Dy (0.641, 0.641, 0.574)
Br (0.500, 0.500, 0.000)
N (0.500, 0.500, 0.500)


Record 2
Dy2Sc2Br4NCl: optimized geometry, PBE.

* crystal system: monoclinic
* calculated total energy: -5.51 eV per atom
* space group: C2/m (12)

Unit cell a=9.099 b=9.099 c=7.723 alpha=102.12 beta=102.12 gamma=22.95
Positions (direct):
Br (0.834, 0.834, 0.666)
Br (0.837, 0.837, 0.169)
Br (0.166, 0.166, 0.334)
Br (0.163, 0.163, 0.831)
Dy (0.000, 0.000, 0.708)
Dy (0.000, 0.000, 0.292)
Sc (0.625, 0.625, 0.563)
Sc (0.375, 0.375, 0.437)
Cl (0.500, 0.500, 0.000)
N (0.500, 0.500, 0.500)


Record 3
SmDyBr2NCl: optimized geometry, PBE.

* crystal system: monoclinic
* calculated total energy: -5.74 eV per atom
* E above lowest polymorph: 9 meV/atom
* space group: C2/m (12)

Unit cell a=9.471 b=9.471 c=11.632 alpha=124.90 beta=124.90 gamma=23.87
Positions (direct):
Cl (0.674, 0.674, 0.006)
Cl (0.326, 0.326, 0.994)
Sm (0.139, 0.139, 0.792)
Sm (0.861, 0.861, 0.208)
Dy (0.573, 0.573, 0.460)
Dy (0.427, 0.427, 0.540)
N (0.575, 0.575, 0.654)
N (0.425, 0.425, 0.346)
Br (0.036, 0.036, 0.247)
Br (0.214, 0.214, 0.620)
Br (0.786, 0.786, 0.380)
Br (0.964, 0.964, 0.753)


Record 4
SmDyBr2NCl: optimized geometry, PBE.

* crystal system: monoclinic
* calculated total energy: -5.75 eV per atom
* E above lowest polymorph: 0 meV/atom
* space group: C2/m (12)

Unit cell a=8.890 b=8.890 c=11.170 alpha=120.92 beta=120.92 gamma=25.53
Positions (direct):
Br (0.336, 0.336, 0.980)
Br (0.664, 0.664, 0.020)
Br (0.050, 0.050, 0.246)
Br (0.950, 0.950, 0.754)
Dy (0.421, 0.421, 0.542)
Dy (0.579, 0.579, 0.458)
Cl (0.206, 0.206, 0.606)
Cl (0.794, 0.794, 0.394)
N (0.428, 0.428, 0.348)
N (0.572, 0.572, 0.652)
Sm (0.134, 0.134, 0.787)
Sm (0.866, 0.866, 0.213)


Record 5
TbDyBr2NCl: optimized geometry, PBE.

* crystal system: monoclinic
* calculated total energy: -5.73 eV per atom
* space group: C2/m (12)

Unit cell a=8.957 b=8.957 c=11.191 alpha=122.20 beta=122.20 gamma=24.92
Positions (direct):
Cl (0.792, 0.792, 0.387)
Cl (0.208, 0.208, 0.613)
Dy (0.866, 0.866, 0.213)
Dy (0.134, 0.134, 0.787)
Br (0.667, 0.667, 0.018)
Br (0.956, 0.956, 0.758)
Br (0.044, 0.044, 0.242)
Br (0.333, 0.333, 0.982)
N (0.574, 0.574, 0.656)
N (0.426, 0.426, 0.344)
Tb (0.579, 0.579, 0.459)
Tb (0.421, 0.421, 0.541)


Record 6
TbDyBr2NCl: optimized geometry, PBE.

* crystal system: monoclinic
* calculated total energy: -5.73 eV per atom
* space group: C2/m (12)

Unit cell a=9.495 b=9.495 c=11.618 alpha=125.75 beta=125.75 gamma=23.46
Positions (direct):
Br (0.216, 0.216, 0.625)
Br (0.784, 0.784, 0.375)
Br (0.967, 0.967, 0.756)
Br (0.033, 0.033, 0.244)
Dy (0.573, 0.573, 0.461)
Dy (0.427, 0.427, 0.539)
Cl (0.676, 0.676, 0.006)
Cl (0.324, 0.324, 0.994)
Tb (0.861, 0.861, 0.208)
Tb (0.139, 0.139, 0.792)
N (0.576, 0.576, 0.656)
N (0.424, 0.424, 0.344)